Run one
RhW3O | GGA+U | relaxed

## Properties
- total moment (μB per formula unit) = 0.5
- calculated density (Mg/m³) = 15.33

Cell: 4.1719 4.1719 4.1719 Å, 90.00 90.00 90.00°
Space group Pm-3m (No. 221)
One atom of each set of equivalent atoms:
Rh: 0.0000 0.0000 0.0000 [1 per cell]
W: 0.0000 0.5000 0.5000 [3 per cell]
O: 0.5000 0.5000 0.5000 [1 per cell]

***

Run two
RhW3O | GGA+U | relaxed

## Properties
- total moment (μB per formula unit) = 10.5
- calculated density (Mg/m³) = 8.50

Cell: 5.0783 5.0783 5.0783 Å, 90.00 90.00 90.00°
Space group Pm-3m (No. 221)
One atom of each set of equivalent atoms:
Rh: 0.0000 0.0000 0.0000 [1 per cell]
W: 0.0000 0.0000 0.5000 [3 per cell]
O: 0.5000 0.5000 0.5000 [1 per cell]

***

Which one sits at the top of the stability order? run one does.

***

Run one
Rh2WO6 | GGA+U | relaxed

## Properties
- total moment (μB per formula unit) = 0.0
- calculated density (Mg/m³) = 8.21

Cell: 5.1129 5.1129 4.3375 Å, 90.00 90.00 120.00°
Space group P-31m (No. 162)
One atom of each set of equivalent atoms:
Rh: 0.3333 0.6667 0.0000 [2 per cell]
W: 0.0000 0.0000 0.5000 [1 per cell]
O: 0.0000 0.3245 0.2529 [6 per cell]

***

Run two
Rh2WO6 | GGA+U | relaxed

## Properties
- total moment (μB per formula unit) = 0.0
- calculated density (Mg/m³) = 7.94

Cell: 4.6867 4.6867 9.2512 Å, 90.00 90.00 90.00°
Space group P4_2/mnm (No. 136)
One atom of each set of equivalent atoms:
Rh: 0.0000 0.0000 0.1681 [4 per cell]
W: 0.0000 0.0000 0.5000 [2 per cell]
O: 0.1958 0.1958 0.3426 [8 per cell]
O: 0.1998 0.1998 0.0000 [4 per cell]

***

Which one sits at the top of the stability order? run two does.